{"formula": "ZrSb4", "functional": "PBE", "state": "optimized geometry", "de_polymorph_mev_per_atom": 485, "dos_at_fermi_per_ev_cell": 5.1, "lattice_angstrom": [[5.5361, 0.0000, 0.0000], [0.0000, 5.5361, 0.0000], [0.0000, 0.0000, 5.5361]], "species": ["Zr", "Sb", "Sb", "Sb", "Sb"], "fractional_positions": [[0.0000, 0.0000, 0.0000], [0.0000, 0.0000, 0.5000], [0.0000, 0.5000, 0.0000], [0.5000, 0.0000, 0.0000], [0.5000, 0.5000, 0.5000]]}

***

{"formula": "Zr3Sb", "functional": "PBE", "state": "optimized geometry", "total_energy_ev_per_cell": -61.17, "dos_at_fermi_per_ev_cell": 10.7, "lattice_angstrom": [[3.9946, 0.0000, 0.0000], [0.0000, 5.1908, 0.0000], [0.0000, 0.0000, 8.9921]], "species": ["Zr", "Zr", "Zr", "Zr", "Zr", "Zr", "Sb", "Sb"], "fractional_positions": [[0.0000, 0.0000, 0.0000], [0.0000, 0.5000, 0.2568], [0.0000, 0.5000, 0.7432], [0.5000, 0.0000, 0.2568], [0.5000, 0.0000, 0.7432], [0.5000, 0.5000, 0.0000], [0.0000, 0.0000, 0.5000], [0.5000, 0.5000, 0.5000]]}

***

{"formula": "Zr3Sb", "functional": "PBE", "state": "optimized geometry", "total_energy_ev_per_cell": -127.04, "dos_at_fermi_per_ev_cell": 13.7, "lattice_angstrom": [[-5.7067, 5.7067, 2.8584], [5.7067, -5.7067, 2.8584], [5.7067, 5.7067, -2.8584]], "species": ["Zr", "Zr", "Zr", "Zr", "Zr", "Zr", "Zr", "Zr", "Zr", "Zr", "Zr", "Zr", "Sb", "Sb", "Sb", "Sb"], "fractional_positions": [[0.0513, 0.0203, 0.5987], [0.1046, 0.2910, 0.9744], [0.3167, 0.1302, 0.0256], [0.3830, 0.0496, 0.3819], [0.4216, 0.4526, 0.4013], [0.5474, 0.9487, 0.9690], [0.6677, 0.0012, 0.6181], [0.7090, 0.6833, 0.8135], [0.8698, 0.8954, 0.1865], [0.9504, 0.3323, 0.3335], [0.9797, 0.5784, 0.0310], [0.9988, 0.6170, 0.6665], [0.2386, 0.4933, 0.6762], [0.4375, 0.7614, 0.2547], [0.5067, 0.1829, 0.7453], [0.8171, 0.5625, 0.3238]]}

***

{"formula": "ZrSb2", "functional": "PBE", "state": "optimized geometry", "total_energy_ev_per_cell": -31.31, "dos_at_fermi_per_ev_cell": 6.4, "lattice_angstrom": [[0.0000, 4.2866, 4.2866], [4.2866, 0.0000, 4.2866], [4.2866, 4.2866, 0.0000]], "species": ["Zr", "Zr", "Sb", "Sb", "Sb", "Sb"], "fractional_positions": [[0.1250, 0.1250, 0.1250], [0.8750, 0.8750, 0.8750], [0.0000, 0.5000, 0.5000], [0.5000, 0.0000, 0.5000], [0.5000, 0.5000, 0.0000], [0.5000, 0.5000, 0.5000]]}

***

{"formula": "ZrSb2", "functional": "PBE", "state": "optimized geometry", "total_energy_ev_per_cell": -17.56, "dos_at_fermi_per_ev_cell": 1.2, "lattice_angstrom": [[3.5252, 0.0000, 0.0000], [-1.7626, 3.0529, 0.0000], [0.0000, 0.0000, 6.9852]], "species": ["Zr", "Sb", "Sb"], "fractional_positions": [[0.0000, 0.0000, 0.0000], [0.3333, 0.6667, 0.3123], [0.6667, 0.3333, 0.6877]]}

***

{"formula": "ZrSb4", "functional": "PBE", "state": "optimized geometry", "de_polymorph_mev_per_atom": 32, "dos_at_fermi_per_ev_cell": 8.1, "lattice_angstrom": [[6.7437, 0.0000, 0.0000], [0.0000, 6.7437, 0.0000], [0.0000, 0.0000, 6.7437]], "species": ["Zr", "Zr", "Sb", "Sb", "Sb", "Sb", "Sb", "Sb", "Sb", "Sb"], "fractional_positions": [[0.0000, 0.0000, 0.0000], [0.5000, 0.5000, 0.5000], [0.2500, 0.2500, 0.2500], [0.2500, 0.2500, 0.7500], [0.2500, 0.7500, 0.2500], [0.2500, 0.7500, 0.7500], [0.7500, 0.2500, 0.2500], [0.7500, 0.2500, 0.7500], [0.7500, 0.7500, 0.2500], [0.7500, 0.7500, 0.7500]]}

***

| no. | total moment (μB/f.u.) |
| --- | --- |
| 1 | 0.00 |
| 2 | 0.00 |
| 3 | 0.00 |
| 4 | 0.00 |
| 5 | 0.00 |
| 6 | 0.00 |